Record 1
Entry from Alexandria: an optimized crystal structure of Dy2ZrNpAs4 (PBE-GGA).

## Properties
**Crystal system**: monoclinic
**Magnetic moment**: 3.96 Bohr magnetons per cell
**Uncorrected energy**: -7.378 eV per atom
**Energy of formation**: -1.22 eV/atom

```
data_Dy2ZrNpAs4
_cell_length_a 6.994
_cell_length_b 4.039
_cell_length_c 7.013
_cell_angle_alpha 90.00
_cell_angle_beta 109.16
_cell_angle_gamma 90.00
_space_group_name_H-M_alt 'P 1 2/m 1'
_space_group_IT_number 10
loop_
_space_group_symop_operation_xyz
'x,y,z'
'-x,-y,-z'
'-x,y,-z'
'x,-y,z'
loop_
_atom_site_label
_atom_site_fract_x
_atom_site_fract_y
_atom_site_fract_z
Dy1 0.000 0.000 0.000
Dy2 0.500 0.500 0.000
Zr1 0.000 0.500 0.500
Np1 0.500 0.000 0.500
As1 0.241 0.000 0.739
As2 0.246 0.500 0.256
```

=====

Record 2
Entry from Alexandria: an optimized crystal structure of BaSrLiIr (PBE-GGA).

## Properties
**Crystal system**: cubic
**Magnetic moment**: 0.00 Bohr magnetons per cell
**Uncorrected energy**: -3.587 eV per atom
**Energy of formation**: 0.01 eV/atom

```
data_BaSrLiIr
_cell_length_a 7.658
_cell_length_b 7.658
_cell_length_c 7.658
_cell_angle_alpha 90.00
_cell_angle_beta 90.00
_cell_angle_gamma 90.00
_space_group_name_H-M_alt 'F -4 3 m'
_space_group_IT_number 216
_space_group_name_Hall 'F -4 2 3'
loop_
_atom_site_label
_atom_site_fract_x
_atom_site_fract_y
_atom_site_fract_z
Ba1 0.000 0.000 0.000
Sr1 0.000 0.000 0.500
Li1 0.250 0.250 0.750
Ir1 0.250 0.250 0.250
```

=====

Record 3
Entry from Alexandria: an optimized crystal structure of AlReAs2 (PBE-GGA).

## Properties
**Crystal system**: orthorhombic
**Magnetic moment**: 0.00 Bohr magnetons per cell
**Uncorrected energy**: -5.987 eV per atom
**E above lowest polymorph**: 352 meV per atom
**Energy of formation**: 0.39 eV/atom

```
data_AlReAs2
_cell_length_a 2.997
_cell_length_b 4.986
_cell_length_c 9.543
_cell_angle_alpha 90.00
_cell_angle_beta 90.00
_cell_angle_gamma 90.00
_space_group_name_H-M_alt 'C m m m'
_space_group_IT_number 65
_space_group_name_Hall '-C 2 2'
loop_
_atom_site_label
_atom_site_fract_x
_atom_site_fract_y
_atom_site_fract_z
Al1 0.000 0.000 0.000
Re1 0.000 0.000 0.500
As1 0.000 0.500 0.282
```

=====

Record 4
Entry from Alexandria: an optimized crystal structure of Cd2HgPb (PBE-GGA).

## Properties
**Crystal system**: tetragonal
**Magnetic moment**: 0.00 Bohr magnetons per cell
**Uncorrected energy**: -1.372 eV per atom
**E above lowest polymorph**: 48 meV per atom
**Energy of formation**: 0.09 eV/atom

```
data_Cd2HgPb
_cell_length_a 4.482
_cell_length_b 4.482
_cell_length_c 21.811
_cell_angle_alpha 90.00
_cell_angle_beta 90.00
_cell_angle_gamma 90.00
_space_group_name_H-M_alt 'I -4 2 d'
_space_group_IT_number 122
_space_group_name_Hall 'I -4 2bw'
loop_
_atom_site_label
_atom_site_fract_x
_atom_site_fract_y
_atom_site_fract_z
Cd1 0.238 0.250 0.125
Hg1 0.000 0.000 0.000
Pb1 0.000 0.000 0.500
```

=====

Record 5
Entry from Alexandria: an optimized crystal structure of DySn2Hg2 (PBE-GGA).

## Properties
**Crystal system**: orthorhombic
**Magnetic moment**: 0.00 Bohr magnetons per cell
**Uncorrected energy**: -2.945 eV per atom
**Energy of formation**: -0.30 eV/atom

```
data_DySn2Hg2
_cell_length_a 4.582
_cell_length_b 24.534
_cell_length_c 4.437
_cell_angle_alpha 90.00
_cell_angle_beta 90.00
_cell_angle_gamma 90.00
_space_group_name_H-M_alt 'C m c m'
_space_group_IT_number 63
_space_group_name_Hall '-C 2c 2'
loop_
_atom_site_label
_atom_site_fract_x
_atom_site_fract_y
_atom_site_fract_z
Dy1 0.000 0.147 0.250
Sn1 0.000 0.250 0.750
Sn2 0.000 0.358 0.250
Hg1 0.000 0.046 0.750
Hg2 0.000 0.451 0.750
```

=====

Record 6
Entry from Alexandria: an optimized crystal structure of K4AlTl (PBE-GGA).

## Properties
**Crystal system**: cubic
**Magnetic moment**: 0.00 Bohr magnetons per cell
**Uncorrected energy**: -1.326 eV per atom
**Energy of formation**: 0.42 eV/atom

```
data_K4AlTl
_cell_length_a 10.207
_cell_length_b 10.207
_cell_length_c 10.207
_cell_angle_alpha 90.00
_cell_angle_beta 90.00
_cell_angle_gamma 90.00
_space_group_name_H-M_alt 'F -4 3 m'
_space_group_IT_number 216
_space_group_name_Hall 'F -4 2 3'
loop_
_atom_site_label
_atom_site_fract_x
_atom_site_fract_y
_atom_site_fract_z
K1 0.125 0.125 0.125
Al1 0.000 0.000 0.500
Tl1 0.250 0.250 0.750
```

=====

Record 7
Entry from Alexandria: an optimized crystal structure of PmScGa4 (PBE-GGA).

## Properties
**Crystal system**: orthorhombic
**Magnetic moment**: 0.00 Bohr magnetons per cell
**Uncorrected energy**: -4.435 eV per atom
**E above lowest polymorph**: 0 meV per atom
**Energy of formation**: -0.57 eV/atom

```
data_PmScGa4
_cell_length_a 4.366
_cell_length_b 7.092
_cell_length_c 7.683
_cell_angle_alpha 90.00
_cell_angle_beta 90.00
_cell_angle_gamma 90.00
_space_group_name_H-M_alt 'I m m m'
_space_group_IT_number 71
_space_group_name_Hall '-I 2 2'
loop_
_atom_site_label
_atom_site_fract_x
_atom_site_fract_y
_atom_site_fract_z
Pm1 0.000 0.000 0.000
Sc1 0.000 0.500 0.000
Ga1 0.000 0.230 0.335
```

=====

Record 8
Entry from Alexandria: an optimized crystal structure of AsN3Cl (PBE-GGA).

## Properties
**Crystal system**: cubic
**Magnetic moment**: 0.00 Bohr magnetons per cell
**Uncorrected energy**: -4.137 eV per atom

```
data_AsN3Cl
_cell_length_a 3.808
_cell_length_b 3.808
_cell_length_c 3.808
_cell_angle_alpha 90.00
_cell_angle_beta 90.00
_cell_angle_gamma 90.00
_space_group_name_H-M_alt 'P m -3 m'
_space_group_IT_number 221
_space_group_name_Hall '-P 4 2 3'
loop_
_atom_site_label
_atom_site_fract_x
_atom_site_fract_y
_atom_site_fract_z
As1 0.000 0.000 0.000
N1 0.000 0.000 0.500
Cl1 0.500 0.500 0.500
```